1.
First-principles (GGA-PBE) data for a relaxed structure of KCu2Mo, as listed in Alexandria via LeMat-Bulk.

Computed properties:
E_form   1134 meV per atom
Total DFT energy (no corrections)   -3.8962 eV per atom
Distance to the lowest polymorph of the same formula   561 meV per atom
ρ   5080 kg/m³
Crystal system   orthorhombic
Calculated volume   171.39 Å³ per cell

Unit cell a=2.6626 b=5.9735 c=10.7756 alpha=90.00 beta=90.00 gamma=90.00
Last column: nearest neighbours and their distance in Å.
Space group Immm (No. 71)
Unique sites:
K 0.0000 0.0000 0.0000 [2 per cell]  2 K 2.66
Cu 0.0000 0.5000 0.2060 [4 per cell]  2 Mo 2.59, 2 Cu 2.66
Mo 0.0000 0.0000 0.5000 [2 per cell]  4 Cu 2.59, 2 Mo 2.66

---

2.
First-principles (GGA-PBE) data for a relaxed structure of Al2O3, as listed in Alexandria via LeMat-Bulk.

Computed properties:
Total DFT energy (no corrections)   -7.4158 eV per atom
ρ   3198 kg/m³
Crystal system   monoclinic
Calculated volume   317.63 Å³ per cell
Formation energy without anion corrections   -2944 meV per atom

Unit cell a=7.4664 b=2.8863 c=15.0909 alpha=90.00 beta=102.40 gamma=90.00
Last column: nearest neighbours and their distance in Å.
Space group P2_1/m (No. 11)
Unique sites:
Al 0.0037 0.2500 0.3342 [2 per cell]  4 O 1.73-1.83
Al 0.0089 0.7500 0.1444 [2 per cell]  4 O 1.76-1.79
Al 0.3268 0.7500 0.0029 [2 per cell]  6 O 1.89-2.06
Al 0.3638 0.7500 0.4372 [2 per cell]  6 O 1.84-2.01
Al 0.3697 0.2500 0.6456 [2 per cell]  4 O 1.85-1.92
Al 0.4266 0.2500 0.1770 [2 per cell]  3 O 1.79-1.82
O 0.0040 0.7500 0.7878 [2 per cell]  3 Al 1.78-1.83
O 0.1209 0.7500 0.3778 [2 per cell]  3 Al 1.74-1.84
O 0.1782 0.2500 0.9493 [2 per cell]  3 Al 1.76-1.89
O 0.2142 0.7500 0.6444 [2 per cell]  3 Al 1.73-1.85
O 0.2358 0.7500 0.1227 [2 per cell]  1 Al 1.79
O 0.3625 0.2500 0.5174 [2 per cell]  4 Al 1.88-2.01
O 0.4299 0.2500 0.3581 [2 per cell]  4 Al 2.00-2.09
O 0.4550 0.2500 0.7697 [2 per cell]  3 Al 1.79-1.85
O 0.4808 0.2500 0.0648 [2 per cell]  4 Al 1.82-1.95

---

3.
First-principles (GGA-PBE) data for a relaxed structure of TcC2Br, as listed in Alexandria via LeMat-Bulk.

Computed properties:
Total DFT energy (no corrections)   -4.9191 eV per atom
Distance to the lowest polymorph of the same formula   1341 meV per atom
ρ   7517 kg/m³
Crystal system   cubic
Calculated volume   178.43 Å³ per cell
Formation energy without anion corrections   2703 meV per atom

Unit cell a=5.6298 b=5.6298 c=5.6298 alpha=90.00 beta=90.00 gamma=90.00
Last column: nearest neighbours and their distance in Å.
Space group Fm-3m (No. 225)
Unique sites:
Tc 0.0000 0.0000 0.0000 [4 per cell]  8 C 2.44
C 0.2500 0.2500 0.2500 [8 per cell]  4 Br 2.44, 4 Tc 2.44
Br 0.0000 0.0000 0.5000 [4 per cell]  8 C 2.44

---

4.
First-principles (GGA-PBE) data for a relaxed structure of Ta2TcIr, as listed in Alexandria via LeMat-Bulk.

Computed properties:
E_form   -320 meV per atom
Total DFT energy (no corrections)   -11.0532 eV per atom
ρ   16495 kg/m³
Crystal system   orthorhombic
Calculated volume   131.30 Å³ per cell

Unit cell a=3.3204 b=4.3496 c=9.0911 alpha=90.00 beta=90.00 gamma=90.00
Last column: nearest neighbours and their distance in Å.
Space group Imm2 (No. 44)
Unique sites:
Ta 0.0000 0.0000 0.0000 [2 per cell]  4 Tc 2.74, 2 Ir 2.79, 2 Ta 2.83
Ta 0.0000 0.5000 0.2485 [2 per cell]  2 Tc 2.70, 4 Ir 2.74, 2 Ta 2.83
Tc 0.0000 0.0000 0.5138 [2 per cell]  6 Ta 2.70-2.74, 2 Ir 2.95
Ir 0.0000 0.5000 0.7461 [2 per cell]  6 Ta 2.74-2.79, 4 Tc 2.95-3.03

---

5.
First-principles (GGA-PBE) data for a relaxed structure of Ho3TlTe4O12, as listed in Alexandria via LeMat-Bulk.

Computed properties:
Total DFT energy (no corrections)   -6.1130 eV per atom
ρ   6562 kg/m³
Crystal system   trigonal
Calculated volume   1064.02 Å³ per cell
Formation energy without anion corrections   -1705 meV per atom

Unit cell a=11.5522 b=11.5522 c=9.2064 alpha=90.00 beta=90.00 gamma=120.00
Last column: nearest neighbours and their distance in Å.
Space group R32 (No. 155, hexagonal axes)
Unique sites:
Ho 0.0000 0.5745 0.0000 [9 per cell]  6 O 2.20-2.39
Tl 0.0000 0.0000 0.0000 [3 per cell]  6 O 3.05
Te 0.0000 0.0000 0.5000 [3 per cell]  3 O 2.05
Te 0.0000 0.4079 0.5000 [9 per cell]  3 O 1.93-2.01
O 0.0000 0.5754 0.5000 [9 per cell]  1 Te 1.93
O 0.0000 0.8228 0.5000 [9 per cell]  1 Te 2.05, 2 Ho 2.20
O 0.0385 0.1878 0.2511 [18 per cell]  1 Te 2.01, 1 Ho 2.22

---

6.
First-principles (GGA-PBE) data for a relaxed structure of GdCdPd2, as listed in Alexandria via LeMat-Bulk.

Computed properties:
E_form   -701 meV per atom
Total DFT energy (no corrections)   -7.0468 eV per atom
Distance to the lowest polymorph of the same formula   0 meV per atom
ρ   10062 kg/m³
Crystal system   cubic
Calculated volume   318.50 Å³ per cell

Unit cell a=6.8292 b=6.8292 c=6.8292 alpha=90.00 beta=90.00 gamma=90.00
Last column: nearest neighbours and their distance in Å.
Space group Fm-3m (No. 225)
Unique sites:
Gd 0.0000 0.0000 0.0000 [4 per cell]  8 Pd 2.96
Cd 0.0000 0.0000 0.5000 [4 per cell]  8 Pd 2.96
Pd 0.2500 0.2500 0.2500 [8 per cell]  4 Cd 2.96, 4 Gd 2.96

---

7.
First-principles (GGA-PBE) data for a relaxed structure of CsRbCa2Pt, as listed in Alexandria via LeMat-Bulk.

Computed properties:
E_form   -178 meV per atom
Total DFT energy (no corrections)   -2.5513 eV per atom
ρ   3526 kg/m³
Crystal system   tetragonal
Calculated volume   232.48 Å³ per cell

Unit cell a=5.7436 b=5.7436 c=7.0472 alpha=90.00 beta=90.00 gamma=90.00
Last column: nearest neighbours and their distance in Å.
Space group P4/mmm (No. 123)
Unique sites:
Cs 0.0000 0.0000 0.0000 [1 per cell]  4 Rb 4.06, 8 Ca 4.55
Rb 0.5000 0.5000 0.0000 [1 per cell]  2 Pt 3.52
Ca 0.0000 0.5000 0.5000 [2 per cell]  2 Pt 2.87
Pt 0.5000 0.5000 0.5000 [1 per cell]  4 Ca 2.87

---

8.
First-principles (GGA-PBE) data for a relaxed structure of PuCd2InHg5, as listed in Alexandria via LeMat-Bulk.

Computed properties:
E_form   -10 meV per atom
Total DFT energy (no corrections)   -2.2780 eV per atom
ρ   11472 kg/m³
Crystal system   orthorhombic
Calculated volume   918.61 Å³ per cell

Unit cell a=3.2187 b=17.5872 c=16.2274 alpha=90.00 beta=90.00 gamma=90.00
Last column: nearest neighbours and their distance in Å.
Space group Cmc2_1 (No. 36)
Unique sites:
Pu 0.0000 0.0673 0.0000 [4 per cell]  2 Pu 3.22, 4 Hg 3.25-3.32, 2 In 3.37, 4 Cd 3.41
Cd 0.0000 0.3876 0.3216 [4 per cell]  7 Hg 3.05-3.39, 2 Cd 3.22, 2 Pu 3.41
Cd 0.0000 0.3964 0.0006 [4 per cell]  5 Hg 3.01-3.20, 2 Cd 3.22
In 0.0000 0.2882 0.5935 [4 per cell]  5 Hg 2.97-3.26, 2 In 3.22
Hg 0.0000 0.0462 0.3421 [4 per cell]  5 Hg 3.04-3.23, 4 Cd 3.20-3.24, 1 Pu 3.25
Hg 0.0000 0.1321 0.6632 [4 per cell]  1 In 2.97, 4 Cd 3.05-3.13, 2 Hg 3.22
Hg 0.0000 0.2027 0.2633 [4 per cell]  5 Hg 3.04-3.22, 2 In 3.19, 1 Cd 3.39
Hg 0.0000 0.2418 0.9217 [4 per cell]  3 Cd 3.01-3.23, 4 Hg 3.19-3.22, 2 In 3.26, 1 Pu 3.32
Hg 0.0000 0.4657 0.6700 [4 per cell]  6 Hg 3.22-3.34, 2 Pu 3.25, 1 In 3.36, 1 Cd 3.56

---

9.
First-principles (GGA-PBE) data for a relaxed structure of LiBi2S3, as listed in Alexandria via LeMat-Bulk.

Computed properties:
Total DFT energy (no corrections)   -4.1708 eV per atom
ρ   6041 kg/m³
Crystal system   orthorhombic
Calculated volume   286.46 Å³ per cell
Formation energy without anion corrections   -494 meV per atom

Unit cell a=4.0795 b=5.9501 c=11.8010 alpha=90.00 beta=90.00 gamma=90.00
Last column: nearest neighbours and their distance in Å.
Space group Immm (No. 71)
Unique sites:
Li 0.0000 0.0000 0.0000 [2 per cell]  6 S 2.83-2.98
Bi 0.0000 0.0000 0.3310 [4 per cell]  6 S 2.82-2.98
S 0.0000 0.5000 0.0000 [2 per cell]  4 Bi 2.85, 2 Li 2.98
S 0.0000 0.5000 0.3342 [4 per cell]  4 Bi 2.82-2.98, 2 Li 2.83

---

10.
First-principles (GGA-PBE) data for a relaxed structure of TbY2Er3, as listed in Alexandria via LeMat-Bulk.

Computed properties:
E_form   354 meV per atom
Total DFT energy (no corrections)   -4.8542 eV per atom
ρ   6803 kg/m³
Crystal system   orthorhombic
Calculated volume   818.69 Å³ per cell

Unit cell a=14.7621 b=9.9747 c=5.5600 alpha=90.00 beta=90.00 gamma=90.00
Last column: nearest neighbours and their distance in Å.
Space group Cmc2_1 (No. 36)
Unique sites:
Tb 0.0000 0.2340 0.0000 [4 per cell]  3 Er 3.29-3.54, 4 Y 3.48-3.49
Y 0.1096 0.0998 0.5007 [8 per cell]  3 Er 3.19-3.50, 3 Y 3.23-3.42, 2 Tb 3.48-3.49
Er 0.0000 0.4106 0.4993 [4 per cell]  3 Tb 3.29-3.54, 4 Er 3.30-3.55, 2 Y 3.50
Er 0.2393 0.3717 0.5018 [8 per cell]  2 Y 3.19-3.32, 1 Er 3.55